Nd2HoP, optimized geometry, DFT PBE-GGA; energy of formation from the pure elements = -0.605 eV per atom; space group = R-3m (166)
1.0
1.957 1.130 9.536
-1.957 1.130 9.536
0.000 -2.260 9.536
Nd Ho P
2 1 1
Direct
0.227 0.227 0.227
0.773 0.773 0.773
0.000 0.000 0.000
0.500 0.500 0.500